This record from the Alexandria database describes crystalline Nd9HoSc2 at its relaxed geometry. The functional is PBE-GGA.

Cell and atoms, written as POSCAR:
```
Nd9HoSc2
1.0
5.0831 0.0000 0.0000
0.0000 5.0831 0.0000
0.0000 0.0000 15.2622
Nd Ho Sc
9 1 2
direct
0.0000 0.0000 0.0000
0.0000 0.0000 0.3355
0.0000 0.0000 0.6645
0.0000 0.5000 0.1708
0.0000 0.5000 0.5000
0.0000 0.5000 0.8292
0.5000 0.0000 0.1708
0.5000 0.0000 0.5000
0.5000 0.0000 0.8292
0.5000 0.5000 0.0000
0.5000 0.5000 0.3353
0.5000 0.5000 0.6647
```

Results
* calculated formation energy: 0.37 eV per formula unit
* SG: P4/mmm, No. 123
* spin magnetization: 0.00 μB per cell
* Fermi-level density of states: 17.30 states/eV per cell

=====

This record from the Alexandria database describes crystalline Nd5Ho5Sc2 at its relaxed geometry. The functional is PBE-GGA.

Cell and atoms, written as POSCAR:
```
Nd5Ho5Sc2
1.0
7.5180 -2.5052 0.0000
7.5180 2.5052 0.0000
-4.9957 0.0000 10.0433
Nd Ho Sc
5 5 2
direct
0.0000 0.0000 0.0000
0.1627 0.1627 0.4986
0.2537 0.2537 0.2500
0.7463 0.7463 0.7500
0.8373 0.8373 0.5014
0.3321 0.3321 0.9998
0.4202 0.4202 0.7508
0.5000 0.5000 0.5000
0.5798 0.5798 0.2492
0.6679 0.6679 0.0002
0.0836 0.0836 0.7543
0.9164 0.9164 0.2457
```

Results
* calculated formation energy: 0.48 eV per formula unit
* SG: C2/m, No. 12
* spin magnetization: 0.00 μB per cell
* Fermi-level density of states: 17.91 states/eV per cell

=====

This record from the Alexandria database describes crystalline Nd2Ho3Sc3 at its relaxed geometry. The functional is PBE-GGA.

Cell and atoms, written as POSCAR:
```
Nd2Ho3Sc3
1.0
-2.4378 2.4733 9.7721
2.4378 -2.4733 9.7721
2.4378 2.4733 -9.7721
Nd Ho Sc
2 3 3
direct
0.2495 0.2495 0.0000
0.7505 0.7505 0.0000
0.0000 0.0000 0.0000
0.3803 0.8803 0.5000
0.6197 0.1197 0.5000
0.1207 0.6207 0.5000
0.5000 0.5000 0.0000
0.8793 0.3793 0.5000
```

Results
* energy above the lowest structure with this stoichiometry: 0.000 eV/atom
* calculated formation energy: 0.46 eV per formula unit
* SG: Immm, No. 71
* spin magnetization: 0.00 μB per cell
* Fermi-level density of states: 13.37 states/eV per cell

=====

This record from the Alexandria database describes crystalline NdHo12Sc7 at its relaxed geometry. The functional is PBE-GGA.

Cell and atoms, written as POSCAR:
```
NdHo12Sc7
1.0
8.0511 4.6483 2.6556
-8.0511 4.6483 2.6556
0.0000 -9.2966 2.6556
Nd Ho Sc
1 12 7
direct
0.0000 0.0000 0.0000
0.0000 0.2828 0.7172
0.0000 0.7172 0.2828
0.0910 0.4227 0.4227
0.2828 0.0000 0.7172
0.2828 0.7172 0.0000
0.4227 0.0910 0.4227
0.4227 0.4227 0.0910
0.5773 0.5773 0.9090
0.5773 0.9090 0.5773
0.7172 0.0000 0.2828
0.7172 0.2828 0.0000
0.9090 0.5773 0.5773
0.1584 0.1584 0.4940
0.1584 0.4940 0.1584
0.4940 0.1584 0.1584
0.5000 0.5000 0.5000
0.5060 0.8416 0.8416
0.8416 0.5060 0.8416
0.8416 0.8416 0.5060
```

Results
* energy above the lowest structure with this stoichiometry: 0.000 eV/atom
* calculated formation energy: 5.28 eV per formula unit
* SG: R-3m, No. 166
* spin magnetization: 0.00 μB per cell
* Fermi-level density of states: 37.04 states/eV per cell

=====

This record from the Alexandria database describes crystalline NdHo2Sc8 at its relaxed geometry. The functional is PBE-GGA.

Cell and atoms, written as POSCAR:
```
NdHo2Sc8
1.0
4.3716 -8.1107 0.0000
4.3716 8.1107 0.0000
-3.4271 0.0000 4.2736
Nd Ho Sc
1 2 8
direct
0.0000 0.0000 0.0000
0.3102 0.6898 0.5000
0.6898 0.3102 0.5000
0.0977 0.3596 0.7281
0.2028 0.7972 0.0000
0.3596 0.0977 0.7281
0.4988 0.4988 0.2550
0.5012 0.5012 0.7450
0.6404 0.9023 0.2719
0.7972 0.2028 0.0000
0.9023 0.6404 0.2719
```

Results
* calculated formation energy: 1.47 eV per formula unit
* SG: C2/m, No. 12
* spin magnetization: 0.00 μB per cell
* Fermi-level density of states: 17.16 states/eV per cell

=====

This record from the Alexandria database describes crystalline NdHo6Sc3 at its relaxed geometry. The functional is PBE-GGA.

Cell and atoms, written as POSCAR:
```
NdHo6Sc3
1.0
4.7977 2.7699 3.7564
-4.7977 2.7699 3.7564
0.0000 -5.5399 3.7564
Nd Ho Sc
1 6 3
direct
0.0000 0.0000 0.0000
0.0007 0.3418 0.6590
0.1652 0.8357 0.5006
0.3418 0.6590 0.0007
0.5006 0.1652 0.8357
0.6590 0.0007 0.3418
0.8357 0.5006 0.1652
0.2596 0.2596 0.2596
0.4997 0.4997 0.4997
0.7396 0.7396 0.7396
```

Results
* energy above the lowest structure with this stoichiometry: 0.029 eV/atom
* calculated formation energy: 1.92 eV per formula unit
* SG: R3, No. 146
* spin magnetization: 0.92 μB per cell
* Fermi-level density of states: 18.25 states/eV per cell

=====

This record from the Alexandria database describes crystalline Nd2Ho6Sc3 at its relaxed geometry. The functional is PBE-GGA.

Cell and atoms, written as POSCAR:
```
Nd2Ho6Sc3
1.0
2.9897 -5.1858 0.0000
2.9897 5.1858 0.0000
-2.0128 0.0000 11.2332
Nd Ho Sc
2 6 3
direct
0.1666 0.8334 0.0000
0.8334 0.1666 0.0000
0.0795 0.4132 0.7382
0.2532 0.2532 0.2613
0.4132 0.0795 0.7382
0.5868 0.9205 0.2618
0.7468 0.7468 0.7387
0.9205 0.5868 0.2618
0.0000 0.0000 0.5000
0.3347 0.6653 0.5000
0.6653 0.3347 0.5000
```

Results
* calculated formation energy: 2.19 eV per formula unit
* SG: C2/m, No. 12
* spin magnetization: 0.00 μB per cell
* Fermi-level density of states: 17.61 states/eV per cell

=====

This record from the Alexandria database describes crystalline Nd2Ho9Sc at its relaxed geometry. The functional is PBE-GGA.

Cell and atoms, written as POSCAR:
```
Nd2Ho9Sc
1.0
4.9987 0.0000 0.0000
0.0000 4.9987 0.0000
0.0000 0.0000 14.9489
Nd Ho Sc
2 9 1
direct
0.0000 0.0000 0.1686
0.0000 0.0000 0.8314
0.0000 0.5000 0.0000
0.0000 0.5000 0.3398
0.0000 0.5000 0.6602
0.5000 0.0000 0.0000
0.5000 0.0000 0.3398
0.5000 0.0000 0.6602
0.5000 0.5000 0.1702
0.5000 0.5000 0.5000
0.5000 0.5000 0.8298
0.0000 0.0000 0.5000
```

Results
* calculated formation energy: 0.39 eV per formula unit
* SG: P4/mmm, No. 123
* spin magnetization: 0.00 μB per cell
* Fermi-level density of states: 17.96 states/eV per cell

=====

This record from the Alexandria database describes crystalline Nd3Ho2Sc2 at its relaxed geometry. The functional is PBE-GGA.

Cell and atoms, written as POSCAR:
```
Nd3Ho2Sc2
1.0
8.2239 -1.7505 0.0000
8.2239 1.7505 0.0000
-4.0522 0.0000 7.5279
Nd Ho Sc
3 2 2
direct
0.0000 0.0000 0.0000
0.2951 0.2951 0.7079
0.7049 0.7049 0.2921
0.3677 0.3677 0.1812
0.6323 0.6323 0.8188
0.0696 0.0696 0.4343
0.9304 0.9304 0.5657
```

Results
* energy above the lowest structure with this stoichiometry: 0.000 eV/atom
* calculated formation energy: 0.31 eV per formula unit
* SG: C2/m, No. 12
* spin magnetization: 0.00 μB per cell
* Fermi-level density of states: 10.36 states/eV per cell

=====

This record from the Alexandria database describes crystalline NdHo7Sc4 at its relaxed geometry. The functional is PBE-GGA.

Cell and atoms, written as POSCAR:
```
NdHo7Sc4
1.0
7.7032 -2.8614 0.0000
7.7032 2.8614 0.0000
-4.7696 0.0000 8.1041
Nd Ho Sc
1 7 4
direct
0.0000 0.0000 0.0000
0.0895 0.0895 0.4507
0.2119 0.2119 0.8825
0.2382 0.2382 0.2730
0.5000 0.5000 0.0000
0.7618 0.7618 0.7270
0.7881 0.7881 0.1175
0.9105 0.9105 0.5493
0.3337 0.3337 0.6464
0.4433 0.4433 0.2996
0.5567 0.5567 0.7004
0.6663 0.6663 0.3536
```

Results
* energy above the lowest structure with this stoichiometry: 0.222 eV/atom
* calculated formation energy: 2.93 eV per formula unit
* SG: C2/m, No. 12
* spin magnetization: 0.38 μB per cell
* Fermi-level density of states: 20.70 states/eV per cell

=====

Number 1: energy -4.982 eV/atom. Number 2: energy -4.909 eV/atom. Number 3: energy -5.226 eV/atom. Number 4: energy -4.937 eV/atom. Number 5: energy -5.736 eV/atom. Number 6: energy -4.931 eV/atom. Number 7: energy -4.892 eV/atom. Number 8: energy -4.723 eV/atom. Number 9: energy -5.116 eV/atom. Number 10: energy -4.934 eV/atom.